Model i:
A plane-wave DFT calculation with PBE was carried out for a relaxed Ba2CoW crystal. Values from VASP.

* V: 108.0 Å³/f.u.

The structure in Quantum ESPRESSO input format:
```
&SYSTEM
  ibrav = 0, nat = 4, ntyp = 3
/
ATOMIC_SPECIES
Ba 137.33 Ba.upf
Co 58.93 Co.upf
W 183.84 W.upf
ATOMIC_POSITIONS angstrom
Ba 2.4195 0.0000 1.6824
Ba 7.2465 0.0000 5.2585
Co 5.0220 0.0000 0.0000
W -0.1890 0.0000 3.4705
CELL_PARAMETERS angstrom
5.0220 -1.5495 0.0000
5.0220 1.5495 0.0000
-0.3781 0.0000 6.9410
```

---

Model ii:
A plane-wave DFT calculation with PBE was carried out for a relaxed Ba2CoW crystal. Values from VASP.

* V: 120.0 Å³/f.u.

The structure in Quantum ESPRESSO input format:
```
&SYSTEM
  ibrav = 0, nat = 4, ntyp = 3
/
ATOMIC_SPECIES
Ba 137.33 Ba.upf
Co 58.93 Co.upf
W 183.84 W.upf
ATOMIC_POSITIONS angstrom
Ba 0.0000 0.0000 2.8073
Ba 0.0000 0.0000 16.6085
Co 1.6965 0.0000 0.0000
W 0.0000 1.8215 0.0000
CELL_PARAMETERS angstrom
-1.6965 1.8215 9.7079
1.6965 -1.8215 9.7079
1.6965 1.8215 -9.7079
```

---

Model iii:
A plane-wave DFT calculation with PBE was carried out for a relaxed Ba2CoW crystal. Values from VASP.

* V: 104.3 Å³/f.u.

The structure in Quantum ESPRESSO input format:
```
&SYSTEM
  ibrav = 0, nat = 4, ntyp = 3
/
ATOMIC_SPECIES
Ba 137.33 Ba.upf
Co 58.93 Co.upf
W 183.84 W.upf
ATOMIC_POSITIONS angstrom
Ba 0.0000 0.0000 2.3818
Ba 0.0000 0.0000 7.7482
Co 1.6044 1.6044 0.0000
W 1.6044 1.6044 5.0650
CELL_PARAMETERS angstrom
3.2089 0.0000 0.0000
0.0000 3.2089 0.0000
0.0000 0.0000 10.1300
```

---

Model iv:
A plane-wave DFT calculation with PBE was carried out for a relaxed Ba2CoW crystal. Values from VASP.

* V: 108.0 Å³/f.u.

The structure in Quantum ESPRESSO input format:
```
&SYSTEM
  ibrav = 0, nat = 4, ntyp = 3
/
ATOMIC_SPECIES
Ba 137.33 Ba.upf
Co 58.93 Co.upf
W 183.84 W.upf
ATOMIC_POSITIONS angstrom
Ba 0.0000 0.0000 0.0000
Ba 0.0000 2.6562 1.9131
Co 2.6562 0.0000 1.9131
W 0.0000 0.0000 3.8261
CELL_PARAMETERS angstrom
-2.6562 2.6562 3.8261
2.6562 -2.6562 3.8261
2.6562 2.6562 -3.8261
```

---

The data favor model ii; the next most stable structure lies 64.2 kJ/mol of atoms above it.

---

Model i:
A plane-wave DFT calculation with PBE was carried out for a relaxed Ba2CoW crystal. Values from VASP.

* V: 137.0 Å³/f.u.

The structure in Quantum ESPRESSO input format:
```
&SYSTEM
  ibrav = 0, nat = 4, ntyp = 3
/
ATOMIC_SPECIES
Ba 137.33 Ba.upf
Co 58.93 Co.upf
W 183.84 W.upf
ATOMIC_POSITIONS angstrom
Ba 0.0000 0.0000 0.0000
Ba 0.0000 0.0000 4.9584
Co 0.0000 0.0000 11.9150
W 0.0000 0.0000 21.2990
CELL_PARAMETERS angstrom
2.0494 1.1832 9.4138
-2.0494 1.1832 9.4138
0.0000 -2.3665 9.4138
```

---

Model ii:
A plane-wave DFT calculation with PBE was carried out for a relaxed Ba2CoW crystal. Values from VASP.

* V: 102.9 Å³/f.u.

The structure in Quantum ESPRESSO input format:
```
&SYSTEM
  ibrav = 0, nat = 4, ntyp = 3
/
ATOMIC_SPECIES
Ba 137.33 Ba.upf
Co 58.93 Co.upf
W 183.84 W.upf
ATOMIC_POSITIONS angstrom
Ba 0.0000 0.0000 7.5721
Ba 0.0000 0.0000 23.5024
Co 0.0000 0.0000 15.5373
W 0.0000 0.0000 0.0000
CELL_PARAMETERS angstrom
1.6938 0.9779 10.3582
-1.6938 0.9779 10.3582
0.0000 -1.9558 10.3582
```

---

The data favor model i; the next most stable structure lies 102.4 kJ/mol of atoms above it.

---

Model i:
A plane-wave DFT calculation with PBE was carried out for a relaxed BaCoW2 crystal. Values from VASP.

* V: 85.0 Å³/f.u.

The structure in Quantum ESPRESSO input format:
```
&SYSTEM
  ibrav = 0, nat = 4, ntyp = 3
/
ATOMIC_SPECIES
Ba 137.33 Ba.upf
Co 58.93 Co.upf
W 183.84 W.upf
ATOMIC_POSITIONS angstrom
Ba 0.0000 0.0000 0.0000
Co 0.0000 2.8787 2.0841
W 1.5322 0.0000 2.9424
W 0.0000 0.0000 4.9591
CELL_PARAMETERS angstrom
-1.5322 2.8787 4.8187
1.5322 -2.8787 4.8187
1.5322 2.8787 -4.8187
```

---

Model ii:
A plane-wave DFT calculation with PBE was carried out for a relaxed BaCoW2 crystal. Values from VASP.

* V: 77.5 Å³/f.u.

The structure in Quantum ESPRESSO input format:
```
&SYSTEM
  ibrav = 0, nat = 4, ntyp = 3
/
ATOMIC_SPECIES
Ba 137.33 Ba.upf
Co 58.93 Co.upf
W 183.84 W.upf
ATOMIC_POSITIONS angstrom
Ba 0.0000 0.0000 0.0000
Co 0.0000 0.0000 5.5558
W 1.4025 0.0000 3.2919
W 0.0000 2.4868 2.2640
CELL_PARAMETERS angstrom
-1.4025 2.4868 5.5558
1.4025 -2.4868 5.5558
1.4025 2.4868 -5.5558
```

---

The data favor model ii; the next most stable structure lies 28.6 kJ/mol of atoms above it.

---

Model i:
A plane-wave DFT calculation with PBE was carried out for a relaxed BaCoW2 crystal. Values from VASP.

* V: 79.2 Å³/f.u.

The structure in Quantum ESPRESSO input format:
```
&SYSTEM
  ibrav = 0, nat = 4, ntyp = 3
/
ATOMIC_SPECIES
Ba 137.33 Ba.upf
Co 58.93 Co.upf
W 183.84 W.upf
ATOMIC_POSITIONS angstrom
Ba 0.0000 0.0000 0.0000
Co 1.9096 1.9096 0.0000
W 0.0000 1.9096 2.7157
W 1.9096 0.0000 2.7157
CELL_PARAMETERS angstrom
3.8192 0.0000 0.0000
0.0000 3.8192 0.0000
0.0000 0.0000 5.4315
```

---

Model ii:
A plane-wave DFT calculation with PBE was carried out for a relaxed BaCoW2 crystal. Values from VASP.

* V: 94.7 Å³/f.u.

The structure in Quantum ESPRESSO input format:
```
&SYSTEM
  ibrav = 0, nat = 4, ntyp = 3
/
ATOMIC_SPECIES
Ba 137.33 Ba.upf
Co 58.93 Co.upf
W 183.84 W.upf
ATOMIC_POSITIONS angstrom
Ba 0.0000 0.0000 0.0000
Co 0.8706 0.0000 3.3645
W 0.0363 2.1737 4.2832
W 1.7048 2.1737 2.4459
CELL_PARAMETERS angstrom
3.2383 0.0000 0.0000
0.0000 4.3474 0.0000
-1.4972 0.0000 6.7291
```

---

The data favor model ii; the next most stable structure lies 42.5 kJ/mol of atoms above it.

---

Model i:
A plane-wave DFT calculation with PBE was carried out for a relaxed BaCoW2 crystal. Values from VASP.

* V: 82.0 Å³/f.u.

The structure in Quantum ESPRESSO input format:
```
&SYSTEM
  ibrav = 0, nat = 4, ntyp = 3
/
ATOMIC_SPECIES
Ba 137.33 Ba.upf
Co 58.93 Co.upf
W 183.84 W.upf
ATOMIC_POSITIONS angstrom
Ba 0.0000 0.0000 0.0000
Co 0.0000 0.0000 6.6340
W 0.0000 0.0000 14.2380
W 0.0000 0.0000 21.7539
CELL_PARAMETERS angstrom
1.5918 0.9190 9.3430
-1.5918 0.9190 9.3430
0.0000 -1.8380 9.3430
```

---

Model ii:
A plane-wave DFT calculation with PBE was carried out for a relaxed BaCoW2 crystal. Values from VASP.

* V: 81.9 Å³/f.u.

The structure in Quantum ESPRESSO input format:
```
&SYSTEM
  ibrav = 0, nat = 4, ntyp = 3
/
ATOMIC_SPECIES
Ba 137.33 Ba.upf
Co 58.93 Co.upf
W 183.84 W.upf
ATOMIC_POSITIONS angstrom
Ba 0.0000 0.0000 0.0000
Co 0.0000 0.0000 3.9699
W 1.4555 1.7718 2.7437
W 1.4555 1.7718 5.1960
CELL_PARAMETERS angstrom
2.9111 0.0000 0.0000
0.0000 3.5437 0.0000
0.0000 0.0000 7.9397
```

---

Model iii:
A plane-wave DFT calculation with PBE was carried out for a relaxed BaCoW2 crystal. Values from VASP.

* V: 75.8 Å³/f.u.

The structure in Quantum ESPRESSO input format:
```
&SYSTEM
  ibrav = 0, nat = 4, ntyp = 3
/
ATOMIC_SPECIES
Ba 137.33 Ba.upf
Co 58.93 Co.upf
W 183.84 W.upf
ATOMIC_POSITIONS angstrom
Ba 0.0000 0.0000 0.0000
Co 1.6794 1.6794 1.6794
W 3.3589 3.3589 3.3589
W 5.0383 5.0383 5.0383
CELL_PARAMETERS angstrom
0.0000 3.3589 3.3589
3.3589 0.0000 3.3589
3.3589 3.3589 0.0000
```

---

Model iv:
A plane-wave DFT calculation with PBE was carried out for a relaxed BaCoW2 crystal. Values from VASP.

* V: 76.8 Å³/f.u.

The structure in Quantum ESPRESSO input format:
```
&SYSTEM
  ibrav = 0, nat = 4, ntyp = 3
/
ATOMIC_SPECIES
Ba 137.33 Ba.upf
Co 58.93 Co.upf
W 183.84 W.upf
ATOMIC_POSITIONS angstrom
Ba 0.0000 0.0000 0.0000
Co 0.0000 0.0000 15.4195
W 0.0000 0.0000 7.1297
W 0.0000 0.0000 23.7093
CELL_PARAMETERS angstrom
1.4681 0.8476 10.2797
-1.4681 0.8476 10.2797
0.0000 -1.6952 10.2797
```

---

The data favor model ii; the next most stable structure lies 9.3 kJ/mol of atoms above it.

---

Model i:
A plane-wave DFT calculation with PBE was carried out for a relaxed BaCoW2 crystal. Values from VASP.

* V: 79.3 Å³/f.u.

The structure in Quantum ESPRESSO input format:
```
&SYSTEM
  ibrav = 0, nat = 4, ntyp = 3
/
ATOMIC_SPECIES
Ba 137.33 Ba.upf
Co 58.93 Co.upf
W 183.84 W.upf
ATOMIC_POSITIONS angstrom
Ba 0.0000 0.0000 0.0000
Co 2.6684 0.0000 0.0000
W 1.3342 2.6443 1.4050
W 1.3342 -2.6443 1.4050
CELL_PARAMETERS angstrom
2.6684 -5.2885 0.0000
2.6684 5.2885 0.0000
0.0000 0.0000 2.8099
```

---

Model ii:
A plane-wave DFT calculation with PBE was carried out for a relaxed BaCoW2 crystal. Values from VASP.

* V: 80.0 Å³/f.u.

The structure in Quantum ESPRESSO input format:
```
&SYSTEM
  ibrav = 0, nat = 4, ntyp = 3
/
ATOMIC_SPECIES
Ba 137.33 Ba.upf
Co 58.93 Co.upf
W 183.84 W.upf
ATOMIC_POSITIONS angstrom
Ba 0.0000 0.0000 0.0000
Co 0.0000 0.0000 5.3767
W 1.9287 0.0000 2.6884
W 0.0000 1.9287 2.6884
CELL_PARAMETERS angstrom
-1.9287 1.9287 5.3767
1.9287 -1.9287 5.3767
1.9287 1.9287 -5.3767
```

---

Model iii:
A plane-wave DFT calculation with PBE was carried out for a relaxed BaCoW2 crystal. Values from VASP.

* V: 77.5 Å³/f.u.

The structure in Quantum ESPRESSO input format:
```
&SYSTEM
  ibrav = 0, nat = 4, ntyp = 3
/
ATOMIC_SPECIES
Ba 137.33 Ba.upf
Co 58.93 Co.upf
W 183.84 W.upf
ATOMIC_POSITIONS angstrom
Ba 0.0000 0.0000 0.0000
Co 2.7092 0.0000 0.0000
W 0.8224 2.6717 1.3389
W 0.8224 -2.6717 1.3389
CELL_PARAMETERS angstrom
2.7092 -5.3435 0.0000
2.7092 5.3435 0.0000
-1.0645 0.0000 2.6778
```

---

The data favor model iii; the next most stable structure lies 12.0 kJ/mol of atoms above it.